[1]
GGA-PBE Rb2HoZrSe4, optimized geometry; E_tot = -5.120 eV per atom; magnetic moment = 0.00 μB/cell
1.0
-1.747 1.999 3.080
-6.067 0.374 -3.684
-0.378 -7.106 4.398
Se Zr Rb Ho
4 1 2 1
direct
0.500 0.759 0.804 Se
0.000 0.278 0.807 Se
0.500 0.241 0.196 Se
0.000 0.722 0.193 Se
0.500 0.500 0.000 Zr
0.500 0.000 0.500 Rb
0.000 0.500 0.500 Rb
0.000 0.000 0.000 Ho

[2]
GGA-PBE ZrTi2Tc, optimized geometry; polymorph energy (0 for the lowest one) = 0.176 eV per atom; formation energy from the elements = -0.084 eV per atom; magnetic moment = 0.00 μB/cell
1.0
0.000 3.243 3.243
3.243 0.000 3.243
3.243 3.243 0.000
Zr Tc Ti
1 1 2
direct
0.000 0.000 0.000 Zr
0.500 0.500 0.500 Tc
0.250 0.250 0.250 Ti
0.750 0.750 0.750 Ti

[3]
GGA-PBE LaDy3S6, optimized geometry; E_tot = -6.478 eV per atom; magnetic moment = 0.00 μB/cell
1.0
4.024 0.000 0.000
0.000 11.123 0.032
0.000 -3.687 10.785
Dy S La
6 12 2
direct
0.250 0.321 0.499 Dy
0.250 0.556 0.167 Dy
0.750 0.161 0.088 Dy
0.750 0.679 0.501 Dy
0.250 0.839 0.912 Dy
0.750 0.444 0.833 Dy
0.750 0.394 0.058 S
0.250 0.197 0.249 S
0.250 0.880 0.537 S
0.250 0.083 0.907 S
0.250 0.606 0.942 S
0.250 0.522 0.389 S
0.750 0.120 0.463 S
0.250 0.268 0.729 S
0.750 0.803 0.751 S
0.750 0.478 0.611 S
0.750 0.917 0.093 S
0.750 0.732 0.271 S
0.250 0.950 0.306 La
0.750 0.050 0.694 La

[4]
GGA-PBE BaVBiCl2, optimized geometry; E_tot = -4.662 eV per atom; magnetic moment = 2.01 μB/cell
1.0
5.066 0.000 0.000
0.000 5.599 0.000
0.000 0.000 5.066
Bi Cl V Ba
1 2 1 1
direct
0.000 0.500 0.000 Bi
0.500 0.000 0.000 Cl
0.000 0.000 0.500 Cl
0.000 0.000 0.000 V
0.500 0.500 0.500 Ba

[5]
GGA-PBE NaTcNi, optimized geometry; polymorph energy (0 for the lowest one) = 0.158 eV per atom; formation energy from the elements = 0.400 eV per atom; magnetic moment = 0.00 μB/cell
1.0
-3.983 2.551 7.700
1.074 -4.214 1.290
2.502 0.082 0.834
Na Tc Ni
2 2 2
direct
0.516 0.953 0.664 Na
0.762 0.496 0.014 Na
0.299 0.429 0.314 Tc
0.177 0.915 0.010 Tc
0.051 0.446 0.683 Ni
0.946 0.993 0.360 Ni

[6]
GGA-PBE BaLa2SiAs, optimized geometry; E_tot = -3.388 eV per atom; magnetic moment = 0.00 μB/cell
1.0
5.892 0.000 0.000
0.000 5.125 0.000
0.000 0.000 5.892
La Ba Si As
2 1 1 1
direct
0.500 0.000 0.000 La
0.000 0.000 0.500 La
0.000 0.000 0.000 Ba
0.000 0.500 0.000 Si
0.500 0.500 0.500 As